Record 1
The following is a GGA-PBE calculation of a geometry-optimized HfHg3 structure, from Alexandria via LeMat-Bulk.

* Fermi-level density of states: 0.65 states/eV per atom
* energy of formation from the pure elements: 0.104 eV per atom
* total magnetization: 0.00 μB per formula unit
* DFT total energy: -2.61 eV/atom

abc: 3.045 10.518 5.621
angles: 90.00 90.00 90.00
Space group Imm2 (No. 44)
Symmetry-distinct sites (fractional):
Hf  0.000  0.000  0.000 (multiplicity 2)
Hg  0.000  0.265  0.336 (multiplicity 4)
Hg  0.000  0.500  0.980 (multiplicity 2)

=====

Record 2
The following is a GGA-PBE calculation of a geometry-optimized KBe2Zn structure, from Alexandria via LeMat-Bulk.

* Fermi-level density of states: 0.28 states/eV per atom
* energy of formation from the pure elements: 0.508 eV per atom
* total magnetization: 0.00 μB per formula unit
* DFT total energy: -1.95 eV/atom

abc: 8.908 2.894 6.416
angles: 90.00 105.44 90.00
Space group C2/m (No. 12)
Symmetry-distinct sites (fractional):
K  0.000  0.000  0.000 (multiplicity 2)
Be  0.204  0.000  0.586 (multiplicity 4)
Zn  0.000  0.500  0.500 (multiplicity 2)

=====

Record 3
The following is a GGA-PBE calculation of a geometry-optimized KScBe2 structure, from Alexandria via LeMat-Bulk.

* Fermi-level density of states: 0.71 states/eV per atom
* energy above the lowest structure with this stoichiometry: 3.108 eV per formula unit
* energy of formation from the pure elements: 1.174 eV per atom
* total magnetization: 0.00 μB per formula unit
* DFT total energy: -2.55 eV/atom

abc: 7.763 7.763 6.140
angles: 90.00 90.00 90.00
Space group I-42d (No. 122)
Symmetry-distinct sites (fractional):
K  0.000  0.000  0.000 (multiplicity 4)
Sc  0.000  0.000  0.500 (multiplicity 4)
Be  0.210  0.250  0.625 (multiplicity 8)

=====

Record 4
The following is a GGA-PBE calculation of a geometry-optimized Sm3ErN4 structure, from Alexandria via LeMat-Bulk.

* Fermi-level density of states: 0.08 states/eV per atom
* energy above the lowest structure with this stoichiometry: 0.000 eV per formula unit
* E_form (uncorrected): -1541.9 meV/atom
* total magnetization: 0.00 μB per formula unit
* DFT total energy: -8.04 eV/atom

abc: 6.147 7.103 6.145
angles: 90.00 109.46 90.00
Space group P2/c (No. 13)
Symmetry-distinct sites (fractional):
Sm  0.000  0.124  0.250 (multiplicity 2)
Sm  0.000  0.372  0.750 (multiplicity 2)
Sm  0.500  0.373  0.250 (multiplicity 2)
Er  0.500  0.124  0.750 (multiplicity 2)
N  0.252  0.368  0.505 (multiplicity 4)
N  0.257  0.123  0.999 (multiplicity 4)

=====

Record 5
The following is a GGA-PBE calculation of a geometry-optimized Rb3BeGe structure, from Alexandria via LeMat-Bulk.

* Fermi-level density of states: 0.33 states/eV per atom
* energy above the lowest structure with this stoichiometry: 0.000 eV per formula unit
* energy of formation from the pure elements: 0.778 eV per atom
* total magnetization: 1.01 μB per formula unit
* DFT total energy: -1.47 eV/atom

abc: 6.832 6.832 6.832
angles: 90.00 90.00 90.00
Space group Pm-3m (No. 221)
Symmetry-distinct sites (fractional):
Rb  0.000  0.000  0.500 (multiplicity 3)
Be  0.500  0.500  0.500 (multiplicity 1)
Ge  0.000  0.000  0.000 (multiplicity 1)

=====

Record 6
The following is a GGA-PBE calculation of a geometry-optimized CuIr3 structure, from Alexandria via LeMat-Bulk.

* Fermi-level density of states: 0.99 states/eV per atom
* energy of formation from the pure elements: 0.077 eV per atom
* total magnetization: 0.00 μB per formula unit
* DFT total energy: -7.59 eV/atom

abc: 2.741 2.741 7.454
angles: 90.00 90.00 90.00
Space group P4/mmm (No. 123)
Symmetry-distinct sites (fractional):
Cu  0.000  0.000  0.000 (multiplicity 1)
Ir  0.000  0.000  0.500 (multiplicity 1)
Ir  0.500  0.500  0.247 (multiplicity 2)

=====

Record 7
The following is a GGA-PBE calculation of a geometry-optimized Ba5InRh structure, from Alexandria via LeMat-Bulk.

* Fermi-level density of states: 1.02 states/eV per atom
* energy of formation from the pure elements: -0.186 eV per atom
* total magnetization: 0.00 μB per formula unit
* DFT total energy: -3.00 eV/atom

abc: 9.786 13.224 10.964
angles: 90.00 105.66 90.00
Space group C2/c (No. 15)
Symmetry-distinct sites (fractional):
Ba  0.000  0.102  0.250 (multiplicity 4)
Ba  0.131  0.196  0.621 (multiplicity 8)
Ba  0.187  0.430  0.972 (multiplicity 8)
In  0.000  0.377  0.250 (multiplicity 4)
Rh  0.000  0.000  0.000 (multiplicity 4)

=====

Record 8
The following is a GGA-PBE calculation of a geometry-optimized RbRe3Os structure, from Alexandria via LeMat-Bulk.

* Fermi-level density of states: 0.97 states/eV per atom
* energy above the lowest structure with this stoichiometry: 0.000 eV per formula unit
* energy of formation from the pure elements: 2.223 eV per atom
* total magnetization: 2.83 μB per formula unit
* DFT total energy: -7.69 eV/atom

abc: 4.873 4.873 4.873
angles: 90.00 90.00 90.00
Space group Pm-3m (No. 221)
Symmetry-distinct sites (fractional):
Rb  0.000  0.000  0.000 (multiplicity 1)
Re  0.000  0.500  0.500 (multiplicity 3)
Os  0.500  0.500  0.500 (multiplicity 1)

=====

Record 9
The following is a GGA-PBE calculation of a geometry-optimized Li2PPd6 structure, from Alexandria via LeMat-Bulk.

* Fermi-level density of states: 0.88 states/eV per atom
* energy above the lowest structure with this stoichiometry: 1.672 eV per formula unit
* energy of formation from the pure elements: -0.270 eV per atom
* total magnetization: 0.00 μB per formula unit
* DFT total energy: -4.76 eV/atom

abc: 7.3171 7.3171 2.8140
angles: 90.00 90.00 120.00
Space group P-31m (No. 162)
Symmetry-distinct sites (fractional):
Li  0.3333  0.6667  0.0000 (multiplicity 2)
P  0.0000  0.0000  0.5000 (multiplicity 1)
Pd  0.0000  0.3298  0.2662 (multiplicity 6)

=====

Record 10
The following is a GGA-PBE calculation of a geometry-optimized Tb4Ho5Tm structure, from Alexandria via LeMat-Bulk.

* Fermi-level density of states: 1.75 states/eV per atom
* energy above the lowest structure with this stoichiometry: 0.000 eV per formula unit
* energy of formation from the pure elements: 0.057 eV per atom
* total magnetization: 0.00 μB per formula unit
* DFT total energy: -4.53 eV/atom

abc: 3.535 6.744 13.783
angles: 97.60 90.28 105.04
Space group P-1 (No. 2)
Symmetry-distinct sites (fractional):
Tb  0.128  0.205  0.308 (multiplicity 2)
Tb  0.176  0.326  0.710 (multiplicity 2)
Ho  0.188  0.375  0.084 (multiplicity 2)
Ho  0.466  0.919  0.115 (multiplicity 2)
Ho  0.500  0.000  0.500 (multiplicity 1)
Tm  0.000  0.500  0.500 (multiplicity 1)

=====

Record 11
The following is a GGA-PBE calculation of a geometry-optimized Ac6SbAs2S3 structure, from Alexandria via LeMat-Bulk.

* Fermi-level density of states: 0.39 states/eV per atom
* E_form (uncorrected): -1705.9 meV/atom
* total magnetization: 0.00 μB per formula unit
* DFT total energy: -5.91 eV/atom

abc: 19.466 4.497 8.918
angles: 90.00 102.51 90.00
Space group C2/m (No. 12)
Symmetry-distinct sites (fractional):
Ac  0.000  0.000  0.235 (multiplicity 4)
Ac  0.167  0.500  0.083 (multiplicity 4)
Ac  0.172  0.500  0.587 (multiplicity 4)
Sb  0.000  0.500  0.500 (multiplicity 2)
As  0.167  0.000  0.834 (multiplicity 4)
S  0.000  0.500  0.000 (multiplicity 2)
S  0.166  0.000  0.332 (multiplicity 4)

=====

Record 12
The following is a GGA-PBE calculation of a geometry-optimized Sm2Pd6Pb structure, from Alexandria via LeMat-Bulk.

* Fermi-level density of states: 0.47 states/eV per atom
* energy of formation from the pure elements: -0.426 eV per atom
* total magnetization: 0.00 μB per formula unit
* DFT total energy: -5.35 eV/atom

abc: 11.895 8.597 4.128
angles: 90.00 110.22 90.00
Space group C2/m (No. 12)
Symmetry-distinct sites (fractional):
Sm  0.169  0.000  0.169 (multiplicity 4)
Pd  0.000  0.267  0.000 (multiplicity 4)
Pd  0.164  0.242  0.664 (multiplicity 8)
Pb  0.000  0.500  0.500 (multiplicity 2)

=====

Record 13
The following is a GGA-PBE calculation of a geometry-optimized HfNpS structure, from Alexandria via LeMat-Bulk.

* Fermi-level density of states: 2.17 states/eV per atom
* E_form (uncorrected): -604.4 meV/atom
* total magnetization: 3.95 μB per formula unit
* DFT total energy: -9.61 eV/atom

abc: 3.3039 3.3039 13.0293
angles: 90.00 90.00 120.00
Space group P-6m2 (No. 187)
Symmetry-distinct sites (fractional):
Hf  0.0000  0.0000  0.2053 (multiplicity 2)
Np  0.0000  0.0000  0.5000 (multiplicity 1)
Np  0.3333  0.6667  0.0000 (multiplicity 1)
S  0.3333  0.6667  0.3396 (multiplicity 2)

=====

Record 14
The following is a GGA-PBE calculation of a geometry-optimized Pr3Nd2Sm5 structure, from Alexandria via LeMat-Bulk.

* Fermi-level density of states: 1.52 states/eV per atom
* energy above the lowest structure with this stoichiometry: 0.854 eV per formula unit
* energy of formation from the pure elements: 0.259 eV per atom
* total magnetization: 0.00 μB per formula unit
* DFT total energy: -4.49 eV/atom

abc: 12.274 17.449 6.614
angles: 90.00 90.00 90.00
Space group Ibam (No. 72)
Symmetry-distinct sites (fractional):
Pr  0.000  0.000  0.250 (multiplicity 4)
Pr  0.087  0.332  0.000 (multiplicity 8)
Nd  0.090  0.168  0.500 (multiplicity 8)
Sm  0.000  0.500  0.250 (multiplicity 4)
Sm  0.247  0.168  0.000 (multiplicity 8)
Sm  0.248  0.500  0.250 (multiplicity 8)

=====

Record 15
The following is a GGA-PBE calculation of a geometry-optimized LaMg2BiH structure, from Alexandria via LeMat-Bulk.

* Fermi-level density of states: 0.31 states/eV per atom
* total magnetization: 0.00 μB per formula unit
* DFT total energy: -3.45 eV/atom

abc: 4.785 4.785 4.839
angles: 90.00 90.00 90.00
Space group P4/mmm (No. 123)
Symmetry-distinct sites (fractional):
La  0.000  0.000  0.000 (multiplicity 1)
Mg  0.000  0.500  0.500 (multiplicity 2)
Bi  0.500  0.500  0.000 (multiplicity 1)
H  0.000  0.000  0.500 (multiplicity 1)

=====

Record 16
The following is a GGA-PBE calculation of a geometry-optimized HAuI2 structure, from Alexandria via LeMat-Bulk.

* Fermi-level density of states: 0.01 states/eV per atom
* energy above the lowest structure with this stoichiometry: 0.000 eV per formula unit
* total magnetization: 0.00 μB per formula unit
* DFT total energy: -2.12 eV/atom

abc: 6.036 6.036 11.674
angles: 90.00 90.00 90.00
Space group I-42d (No. 122)
Symmetry-distinct sites (fractional):
H  0.000  0.000  0.000 (multiplicity 4)
Au  0.000  0.000  0.500 (multiplicity 4)
I  0.194  0.250  0.125 (multiplicity 8)

=====

Record 17
The following is a GGA-PBE calculation of a geometry-optimized Te2Pb structure, from Alexandria via LeMat-Bulk.

* Fermi-level density of states: 0.78 states/eV per atom
* E_form (uncorrected): -77.8 meV/atom
* total magnetization: 0.00 μB per formula unit
* DFT total energy: -3.41 eV/atom

abc: 4.275 21.326 4.451
angles: 90.00 90.00 90.00
Space group Cmcm (No. 63)
Symmetry-distinct sites (fractional):
Te  0.000  0.065  0.250 (multiplicity 4)
Te  0.000  0.257  0.750 (multiplicity 4)
Pb  0.000  0.385  0.250 (multiplicity 4)

=====

Record 18
The following is a GGA-PBE calculation of a geometry-optimized MoIrOs2 structure, from Alexandria via LeMat-Bulk.

* Fermi-level density of states: 0.77 states/eV per atom
* energy above the lowest structure with this stoichiometry: 0.240 eV per formula unit
* energy of formation from the pure elements: -0.040 eV per atom
* total magnetization: 0.00 μB per formula unit
* DFT total energy: -10.58 eV/atom

abc: 3.896 3.896 7.750
angles: 90.00 90.00 90.00
Space group I4/mmm (No. 139)
Symmetry-distinct sites (fractional):
Mo  0.000  0.000  0.000 (multiplicity 2)
Ir  0.000  0.000  0.500 (multiplicity 2)
Os  0.000  0.500  0.250 (multiplicity 4)

=====

Record 19
The following is a GGA-PBE calculation of a geometry-optimized AcSb2IrRh2 structure, from Alexandria via LeMat-Bulk.

* Fermi-level density of states: 0.44 states/eV per atom
* E_form (uncorrected): -139.1 meV/atom
* total magnetization: 0.00 μB per formula unit
* DFT total energy: -6.13 eV/atom

abc: 5.033 5.033 5.698
angles: 90.00 90.00 90.00
Space group P4/mmm (No. 123)
Symmetry-distinct sites (fractional):
Ac  0.000  0.000  0.000 (multiplicity 1)
Sb  0.000  0.500  0.500 (multiplicity 2)
Ir  0.000  0.000  0.500 (multiplicity 1)
Rh  0.500  0.500  0.240 (multiplicity 2)

=====

Record 20
The following is a GGA-PBE calculation of a geometry-optimized Fe2Ni8Mo structure, from Alexandria via LeMat-Bulk.

* Fermi-level density of states: 1.08 states/eV per atom
* energy of formation from the pure elements: 0.157 eV per atom
* total magnetization: 9.22 μB per formula unit
* DFT total energy: -6.57 eV/atom

abc: 4.325 4.905 12.319
angles: 90.00 90.00 90.00
Space group Immm (No. 71)
Symmetry-distinct sites (fractional):
Fe  0.000  0.000  0.184 (multiplicity 4)
Ni  0.000  0.235  0.366 (multiplicity 8)
Ni  0.000  0.500  0.198 (multiplicity 4)
Ni  0.248  0.000  0.000 (multiplicity 4)
Mo  0.000  0.500  0.000 (multiplicity 2)